Material: FeOs2Au
Method: DFT, GGA-PBE
State: relaxed

Lattice parameters (Å, degrees): 2.780 3.831 5.569 90.00 90.00 90.00
Sites, in units of the cell vectors:
Fe: 0.000 0.000 0.000
Os: 0.000 0.000 0.451
Os: 0.500 0.500 0.248
Au: 0.500 0.500 0.749

Output
- D(E_F): 2.96 states/eV per cell
- Crystal system: orthorhombic
- E above lowest polymorph: 0.0180 eV per atom
- ΔH_f (0 K): 0.29 eV per atom

---

Material: FeOs2Au
Method: DFT, GGA-PBE
State: relaxed

Lattice parameters (Å, degrees): 5.589 5.589 5.589 101.71 101.71 126.44
Sites, in units of the cell vectors:
Fe: 0.000 0.000 0.000
Fe: 0.750 0.250 0.500
Os: 0.065 0.125 0.440
Os: 0.375 0.935 0.060
Os: 0.685 0.625 0.560
Os: 0.875 0.315 0.940
Au: 0.250 0.750 0.500
Au: 0.500 0.500 0.000

Output
- D(E_F): 9.36 states/eV per cell
- Crystal system: tetragonal
- E above lowest polymorph: 0.6191 eV per atom
- ΔH_f (0 K): 0.89 eV per atom

---

Material: FeOs2Au
Method: DFT, GGA-PBE
State: relaxed

Lattice parameters (Å, degrees): 4.730 2.765 4.744 90.00 109.34 90.00
Sites, in units of the cell vectors:
Fe: 0.000 0.000 0.000
Os: 0.000 0.500 0.500
Os: 0.500 0.000 0.500
Au: 0.500 0.500 0.000

Output
- D(E_F): 4.51 states/eV per cell
- Crystal system: monoclinic
- E above lowest polymorph: 0.1669 eV per atom
- ΔH_f (0 K): 0.44 eV per atom

---

Material: FeOs2Au
Method: DFT, GGA-PBE
State: relaxed

Lattice parameters (Å, degrees): 3.870 3.870 3.873 90.00 90.00 90.00
Sites, in units of the cell vectors:
Fe: 0.000 0.000 0.000
Os: 0.000 0.500 0.500
Os: 0.500 0.000 0.500
Au: 0.500 0.500 0.000

Output
- D(E_F): 3.99 states/eV per cell
- Crystal system: tetragonal
- E above lowest polymorph: 0.2436 eV per atom
- ΔH_f (0 K): 0.52 eV per atom